1.
This record from Alexandria via LeMat-Bulk describes an optimized crystal structure of LaScSn3. The functional is PBE.

Excess energy over the best structure of this formula in the dataset: 887.0 meV/atom
Energy relative to the elements: 0.690 eV/atom
Energy: -19.82 eV for the cell shown

Unit cell a=5.8324 b=5.8324 c=5.8324 alpha=90.00 beta=90.00 gamma=90.00
Atoms (fractional coordinates):
La1 0.0000 0.0000 0.0000
Sc1 0.5000 0.5000 0.5000
Sn1 0.0000 0.0000 0.5000
Sn2 0.0000 0.5000 0.0000
Sn3 0.5000 0.0000 0.0000

***

2.
This record from Alexandria via LeMat-Bulk describes an optimized crystal structure of Mg14TiCo. The functional is PBE.

Excess energy over the best structure of this formula in the dataset: 0.0 meV/atom
Energy relative to the elements: 0.085 eV/atom
Energy: -35.97 eV for the cell shown

Unit cell a=10.0658 b=6.2570 c=6.2570 alpha=58.74 beta=90.00 gamma=90.00
Atoms (fractional coordinates):
Mg1 0.0000 0.0000 0.0000
Mg2 0.0000 0.0029 0.4981
Mg3 0.0000 0.4981 0.0029
Mg4 0.0000 0.4985 0.4985
Mg5 0.2497 0.6629 0.6629
Mg6 0.2657 0.1660 0.6712
Mg7 0.2657 0.6712 0.1660
Mg8 0.2705 0.1563 0.1563
Mg9 0.5000 0.5123 0.9984
Mg10 0.5000 0.9984 0.5123
Mg11 0.7295 0.1563 0.1563
Mg12 0.7343 0.1660 0.6712
Mg13 0.7343 0.6712 0.1660
Mg14 0.7503 0.6629 0.6629
Ti1 0.5000 0.5084 0.5084
Co1 0.5000 0.0007 0.0007

***

- The highest excess energy over the best structure of this formula in the dataset belongs to which entry?
  LaScSn3